Material: Ce2NdYSe4
Method: DFT, GGA-PBE
State: optimized geometry

It has space group P2/m (No. 10), with a = 7.240 Å, b = 4.156 Å, c = 7.286 Å, α = 90.00°, β = 109.11° and γ = 90.00°. The inequivalent atoms are Ce at (0.000, 0.000, 0.000), Ce at (0.500, 0.500, 0.000), Nd at (0.000, 0.500, 0.500), Y at (0.500, 0.000, 0.500), Se at (0.255, 0.000, 0.747) and Se at (0.258, 0.500, 0.257).

The volume comes out at 207.17 Å³ per cell. Its total energy is -6.447 eV per atom. Its uncorrected formation energy is -1.817 eV/atom. As for the size of the total moment: 0.2564 μB/atom.

Material: SmGdPd2
Method: DFT, GGA-PBE
State: optimized geometry

It has space group Fm-3m (No. 225), with a = 7.131 Å, b = 7.131 Å, c = 7.131 Å, α = 90.00°, β = 90.00° and γ = 90.00°. The inequivalent atoms are Sm at (0.000, 0.000, 0.000), Gd at (0.000, 0.000, 0.500) and Pd at (0.250, 0.250, 0.250).

The volume comes out at 362.55 Å³ per cell. Its total energy is -8.104 eV per atom. As for the size of the total moment: 1.8104 μB/atom. For the energy above the most stable polymorph in this dataset, the calculation gives 0.11 kcal/mol of atoms. The formation energy comes out at -0.808 eV/atom.

Material: LaSbTeH
Method: DFT, GGA-PBE
State: optimized geometry

It has space group P1 (No. 1), with a = 4.490 Å, b = 4.763 Å, c = 5.720 Å, α = 77.21°, β = 77.82° and γ = 89.97°. The inequivalent atoms are La at (0.000, 0.000, 0.000), Sb at (0.600, 0.074, 0.553), Te at (0.506, 0.496, 0.032) and H at (0.625, 0.783, 0.401).

The volume comes out at 116.45 Å³ per cell. Its total energy is -4.455 eV per atom. As for the size of the total moment: 0.0000 μB/atom. For the energy above the most stable polymorph in this dataset, the calculation gives 2.11 kcal/mol of atoms.

Material: LiBe
Method: DFT, GGA-PBE
State: optimized geometry

It has space group Pmma (No. 51), with a = 4.035 Å, b = 2.310 Å, c = 4.829 Å, α = 90.00°, β = 90.00° and γ = 90.00°. The inequivalent atoms are Li at (0.250, 0.000, 0.145) and Be at (0.250, 0.500, 0.610).

The volume comes out at 45.01 Å³ per cell. Its total energy is -2.566 eV per atom. As for the size of the total moment: 0.0000 μB/atom. For the energy above the most stable polymorph in this dataset, the calculation gives 2.86 kcal/mol of atoms. The formation energy comes out at 0.254 eV/atom.

Material: Ba2TmAuO4
Method: DFT, GGA-PBE
State: optimized geometry

It has space group I-4 (No. 82), with a = 5.677 Å, b = 5.677 Å, c = 10.832 Å, α = 90.00°, β = 90.00° and γ = 90.00°. The inequivalent atoms are Ba at (0.000, 0.000, 0.000), Ba at (0.000, 0.500, 0.250), Tm at (0.000, 0.000, 0.500), Au at (0.000, 0.500, 0.750) and O at (0.208, 0.776, 0.612).

The volume comes out at 349.15 Å³ per cell. Its total energy is -6.065 eV per atom. Its uncorrected formation energy is -2.137 eV/atom. As for the size of the total moment: 0.0000 μB/atom.

Material: PmNdS2
Method: DFT, GGA-PBE
State: optimized geometry

It has space group P6_3/mmc (No. 194), with a = 4.0039 Å, b = 4.0039 Å, c = 13.5991 Å, α = 90.00°, β = 90.00° and γ = 120.00°. The inequivalent atoms are Pm at (0.3333, 0.6667, 0.2500), Nd at (0.0000, 0.0000, 0.0000) and S at (0.3333, 0.6667, 0.6244).

The volume comes out at 188.81 Å³ per cell. Its total energy is -6.455 eV per atom. Its uncorrected formation energy is -2.012 eV/atom. As for the size of the total moment: 0.0000 μB/atom. For the energy above the most stable polymorph in this dataset, the calculation gives 0.45 kcal/mol of atoms.

Material: CdFe2Cl
Method: DFT, GGA-PBE
State: optimized geometry

It has space group Pmmm (No. 47), with a = 2.997 Å, b = 4.598 Å, c = 4.905 Å, α = 90.00°, β = 90.00° and γ = 90.00°. The inequivalent atoms are Cd at (0.000, 0.000, 0.000), Fe at (0.000, 0.500, 0.500), Fe at (0.500, 0.500, 0.000) and Cl at (0.500, 0.000, 0.500).

The volume comes out at 67.60 Å³ per cell. Its total energy is -4.386 eV per atom. Its uncorrected formation energy is 0.536 eV/atom. As for the size of the total moment: 1.4320 μB/atom. For the energy above the most stable polymorph in this dataset, the calculation gives 10.48 kcal/mol of atoms.

Material: SrTaNO2
Method: DFT, GGA-PBE
State: optimized geometry

It has space group Pmc2_1 (No. 26), with a = 4.008 Å, b = 5.820 Å, c = 5.828 Å, α = 90.00°, β = 90.00° and γ = 90.00°. The inequivalent atoms are Sr at (0.000, 0.237, 0.000), Ta at (0.500, 0.266, 0.497), N at (0.500, 0.487, 0.739), O at (0.000, 0.231, 0.466) and O at (0.500, 0.018, 0.195).

The volume comes out at 135.96 Å³ per cell. Its total energy is -8.758 eV per atom. Its uncorrected formation energy is -2.403 eV/atom. As for the size of the total moment: 0.0000 μB/atom.

Material: MnGaPCl
Method: DFT, GGA-PBE
State: optimized geometry

It has space group Cm (No. 8), with a = 12.097 Å, b = 3.899 Å, c = 4.212 Å, α = 90.00°, β = 94.82° and γ = 90.00°. The inequivalent atoms are Mn at (0.000, 0.000, 0.000), Ga at (0.366, 0.000, 0.183), P at (0.408, 0.500, 0.481) and Cl at (0.189, 0.000, 0.904).

The volume comes out at 197.94 Å³ per cell. Its total energy is -5.096 eV per atom. Its uncorrected formation energy is -0.233 eV/atom. As for the size of the total moment: 1.0178 μB/atom. For the energy above the most stable polymorph in this dataset, the calculation gives 0.43 kcal/mol of atoms.

Material: TlZn2GaPd
Method: DFT, GGA-PBE
State: optimized geometry

It has space group P4/mmm (No. 123), with a = 4.922 Å, b = 4.922 Å, c = 4.786 Å, α = 90.00°, β = 90.00° and γ = 90.00°. The inequivalent atoms are Tl at (0.000, 0.000, 0.000), Zn at (0.000, 0.500, 0.500), Ga at (0.500, 0.500, 0.000) and Pd at (0.500, 0.500, 0.500).

The volume comes out at 115.94 Å³ per cell. Its total energy is -2.686 eV per atom. As for the size of the total moment: 0.0000 μB/atom. The formation energy comes out at -0.059 eV/atom.

Material: Al2SbBr
Method: DFT, GGA-PBE
State: optimized geometry

It has space group R-3m (No. 166, hexagonal axes), with a = 4.1864 Å, b = 4.1864 Å, c = 20.6323 Å, α = 90.00°, β = 90.00° and γ = 120.00°. The inequivalent atoms are Al at (0.0000, 0.0000, 0.2381), Sb at (0.0000, 0.0000, 0.5000) and Br at (0.0000, 0.0000, 0.0000).

The volume comes out at 313.15 Å³ per cell. Its total energy is -3.326 eV per atom. Its uncorrected formation energy is -0.006 eV/atom. As for the size of the total moment: 0.0000 μB/atom. For the energy above the most stable polymorph in this dataset, the calculation gives 2.90 kcal/mol of atoms.

Material: BaHgPt3
Method: DFT, GGA-PBE
State: optimized geometry

It has space group Imma (No. 74), with a = 5.437 Å, b = 9.572 Å, c = 9.509 Å, α = 90.00°, β = 90.00° and γ = 90.00°. The inequivalent atoms are Ba at (0.000, 0.250, 0.053), Hg at (0.000, 0.000, 0.500), Pt at (0.000, 0.250, 0.711) and Pt at (0.250, 0.009, 0.750).

The volume comes out at 494.83 Å³ per cell. Its total energy is -4.501 eV per atom. As for the size of the total moment: 0.0000 μB/atom. For the energy above the most stable polymorph in this dataset, the calculation gives 0.00 kcal/mol of atoms. The formation energy comes out at -0.432 eV/atom.